i) ReI3Cl | PBE | relaxed

Summary:
As for the density of states at the Fermi level: 6.11 states/eV/f.u. As for the symmetry: Pm-3m, No. 221. Its total magnetization is 0.14 μB per atom.

Lattice parameters (Å, degrees): 5.409 5.409 5.409 90.00 90.00 90.00
Atoms (fractional coordinates):
Re: 0.000 0.000 0.000
I: 0.000 0.000 0.500
I: 0.000 0.500 0.000
I: 0.500 0.000 0.000
Cl: 0.500 0.500 0.500

ii) ReI3Cl | PBE | relaxed

Summary:
As for the density of states at the Fermi level: 1.19 states/eV/f.u. As for the symmetry: P2_1/c, No. 14. Its total magnetization is 0.21 μB per atom.

Lattice parameters (Å, degrees): 9.387 7.501 14.949 90.00 127.92 90.00
Atoms (fractional coordinates):
Re: 0.141 0.022 0.003
Re: 0.141 0.478 0.503
Re: 0.859 0.522 0.497
Re: 0.859 0.978 0.997
I: 0.164 0.668 0.666
I: 0.164 0.832 0.166
I: 0.169 0.715 0.928
I: 0.169 0.785 0.428
I: 0.325 0.225 0.658
I: 0.325 0.275 0.158
I: 0.675 0.725 0.842
I: 0.675 0.775 0.342
I: 0.831 0.215 0.572
I: 0.831 0.285 0.072
I: 0.836 0.168 0.834
I: 0.836 0.332 0.334
Cl: 0.253 0.153 0.913
Cl: 0.253 0.347 0.413
Cl: 0.747 0.653 0.587
Cl: 0.747 0.847 0.087

iii) ReI3Cl | PBE | relaxed

Summary:
As for the density of states at the Fermi level: 1.83 states/eV/f.u. As for the symmetry: Pm-3m, No. 221. Its total magnetization is 1.20 μB per atom.

Lattice parameters (Å, degrees): 5.774 5.774 5.774 90.00 90.00 90.00
Atoms (fractional coordinates):
Re: 0.000 0.000 0.000
I: 0.000 0.500 0.500
I: 0.500 0.000 0.500
I: 0.500 0.500 0.000
Cl: 0.500 0.500 0.500

Order of stability, best first: ii), i), iii)

i) Re3ICl | PBE | relaxed

Summary:
As for the density of states at the Fermi level: 7.16 states/eV/f.u. As for the symmetry: Pm-3m, No. 221. Its total magnetization is 0.80 μB per atom.

Lattice parameters (Å, degrees): 4.934 4.934 4.934 90.00 90.00 90.00
Atoms (fractional coordinates):
Re: 0.000 0.000 0.500
Re: 0.000 0.500 0.000
Re: 0.500 0.000 0.000
I: 0.000 0.000 0.000
Cl: 0.500 0.500 0.500

ii) Re3ICl | PBE | relaxed

Summary:
As for the density of states at the Fermi level: 4.78 states/eV/f.u. As for the symmetry: Pm-3m, No. 221. Its total magnetization is 0.00 μB per atom.

Lattice parameters (Å, degrees): 4.482 4.482 4.482 90.00 90.00 90.00
Atoms (fractional coordinates):
Re: 0.000 0.000 0.500
Re: 0.000 0.500 0.000
Re: 0.500 0.000 0.000
I: 0.500 0.500 0.500
Cl: 0.000 0.000 0.000

Order of stability, best first: ii), i)

i) ReRhICl2 | PBE | relaxed

Summary:
As for the density of states at the Fermi level: 3.35 states/eV/f.u. As for the symmetry: Cm, No. 8. Its total magnetization is 0.10 μB per atom.

Lattice parameters (Å, degrees): 6.548 6.548 6.767 114.52 114.52 27.58
Atoms (fractional coordinates):
Re: 0.000 0.000 0.000
Rh: 0.392 0.392 0.171
I: 0.181 0.181 0.892
Cl: 0.406 0.406 0.705
Cl: 0.601 0.601 0.320

ii) ReRhICl2 | PBE | relaxed

Summary:
As for the density of states at the Fermi level: 2.17 states/eV/f.u. As for the symmetry: P1, No. 1. Its total magnetization is 0.20 μB per atom.

Lattice parameters (Å, degrees): 3.254 6.175 7.127 66.22 84.83 78.79
Atoms (fractional coordinates):
Re: 0.000 0.000 0.000
Rh: 0.402 0.173 0.185
I: 0.163 0.606 0.917
Cl: 0.493 0.159 0.727
Cl: 0.818 0.782 0.355

iii) ReRhICl2 | PBE | relaxed

Summary:
As for the density of states at the Fermi level: 3.03 states/eV/f.u. As for the symmetry: P1, No. 1. Its total magnetization is 0.00 μB per atom.

Lattice parameters (Å, degrees): 3.197 4.798 7.272 96.68 91.02 90.00
Atoms (fractional coordinates):
Re: 0.000 0.000 0.000
Rh: 0.509 0.789 0.229
I: 0.014 0.328 0.329
Cl: 0.490 0.905 0.746
Cl: 0.996 0.439 0.892

iv) ReRhICl2 | PBE | relaxed

Summary:
As for the density of states at the Fermi level: 2.47 states/eV/f.u. As for the symmetry: Pm, No. 6. Its total magnetization is 0.19 μB per atom.

Lattice parameters (Å, degrees): 3.809 4.555 7.791 90.00 102.91 90.00
Atoms (fractional coordinates):
Re: 0.000 0.000 0.000
Rh: 0.411 0.000 0.805
I: 0.333 0.500 0.632
Cl: 0.035 0.500 0.077
Cl: 0.604 0.000 0.228

Order of stability, best first: iv), ii), i), iii)

i) ReRhICl2 | PBE | relaxed

Summary:
As for the density of states at the Fermi level: 3.60 states/eV/f.u. As for the symmetry: P1, No. 1. Its total magnetization is 0.00 μB per atom.

Lattice parameters (Å, degrees): 3.723 4.983 6.986 86.56 74.79 89.99
Atoms (fractional coordinates):
Re: 0.000 0.000 0.000
Rh: 0.407 0.818 0.188
I: 0.858 0.401 0.288
Cl: 0.141 0.785 0.714
Cl: 0.566 0.284 0.866

ii) ReRhICl2 | PBE | relaxed

Summary:
As for the density of states at the Fermi level: 4.28 states/eV/f.u. As for the symmetry: P1, No. 1. Its total magnetization is 0.17 μB per atom.

Lattice parameters (Å, degrees): 3.977 5.542 6.167 75.59 77.31 79.44
Atoms (fractional coordinates):
Re: 0.000 0.000 0.000
Rh: 0.635 0.815 0.850
I: 0.970 0.731 0.410
Cl: 0.350 0.200 0.666
Cl: 0.692 0.385 0.074

iii) ReRhICl2 | PBE | relaxed

Summary:
As for the density of states at the Fermi level: 3.77 states/eV/f.u. As for the symmetry: Pm, No. 6. Its total magnetization is 0.24 μB per atom.

Lattice parameters (Å, degrees): 6.566 3.144 6.748 90.00 116.22 90.00
Atoms (fractional coordinates):
Re: 0.000 0.000 0.000
Rh: 0.243 0.500 0.874
I: 0.611 0.000 0.069
Cl: 0.166 0.500 0.303
Cl: 0.814 0.500 0.683

Order of stability, best first: i), ii), iii)

i) ReRhICl2 | PBE | relaxed

Summary:
As for the density of states at the Fermi level: 5.01 states/eV/f.u. As for the symmetry: P1, No. 1. Its total magnetization is 0.00 μB per atom.

Lattice parameters (Å, degrees): 3.099 6.670 6.686 71.29 76.67 77.14
Atoms (fractional coordinates):
Re: 0.000 0.000 0.000
Rh: 0.623 0.081 0.675
I: 0.932 0.424 0.727
Cl: 0.548 0.731 0.162
Cl: 0.783 0.156 0.287

ii) ReRhICl2 | PBE | relaxed

Summary:
As for the density of states at the Fermi level: 3.91 states/eV/f.u. As for the symmetry: P1, No. 1. Its total magnetization is 0.16 μB per atom.

Lattice parameters (Å, degrees): 3.831 6.053 6.192 117.31 91.93 99.15
Atoms (fractional coordinates):
Re: 0.000 0.000 0.000
Rh: 0.708 0.568 0.758
I: 0.143 0.440 0.430
Cl: 0.470 0.851 0.149
Cl: 0.519 0.136 0.845

Order of stability, best first: i), ii)

i) ReSbI2Cl | PBE | relaxed

Summary:
As for the density of states at the Fermi level: 5.95 states/eV/f.u. As for the symmetry: P4/mmm, No. 123. Its total magnetization is 0.00 μB per atom.

Lattice parameters (Å, degrees): 5.439 5.439 5.199 90.00 90.00 90.00
Atoms (fractional coordinates):
Re: 0.000 0.000 0.000
Sb: 0.000 0.000 0.500
I: 0.000 0.500 0.000
I: 0.500 0.000 0.000
Cl: 0.500 0.500 0.500

ii) ReSbI2Cl | PBE | relaxed

Summary:
As for the density of states at the Fermi level: 2.19 states/eV/f.u. As for the symmetry: P4/mmm, No. 123. Its total magnetization is 0.93 μB per atom.

Lattice parameters (Å, degrees): 5.515 5.515 5.685 90.00 90.00 90.00
Atoms (fractional coordinates):
Re: 0.000 0.000 0.000
Sb: 0.500 0.500 0.000
I: 0.000 0.500 0.500
I: 0.500 0.000 0.500
Cl: 0.500 0.500 0.500

Order of stability, best first: i), ii)

i) ReTeI2Cl | PBE | relaxed

Summary:
As for the density of states at the Fermi level: 2.46 states/eV/f.u. As for the symmetry: P4/mmm, No. 123. Its total magnetization is 1.00 μB per atom.

Lattice parameters (Å, degrees): 5.547 5.547 5.764 90.00 90.00 90.00
Atoms (fractional coordinates):
Re: 0.000 0.000 0.000
Te: 0.500 0.500 0.000
I: 0.000 0.500 0.500
I: 0.500 0.000 0.500
Cl: 0.500 0.500 0.500

ii) ReTeI2Cl | PBE | relaxed

Summary:
As for the density of states at the Fermi level: 4.86 states/eV/f.u. As for the symmetry: P4/mmm, No. 123. Its total magnetization is 0.00 μB per atom.

Lattice parameters (Å, degrees): 5.501 5.501 5.122 90.00 90.00 90.00
Atoms (fractional coordinates):
Re: 0.000 0.000 0.000
Te: 0.000 0.000 0.500
I: 0.000 0.500 0.000
I: 0.500 0.000 0.000
Cl: 0.500 0.500 0.500

Order of stability, best first: ii), i)

i) ReTe2ICl | PBE | relaxed

Summary:
As for the density of states at the Fermi level: 5.59 states/eV/f.u. As for the symmetry: P4/mmm, No. 123. Its total magnetization is 0.92 μB per atom.

Lattice parameters (Å, degrees): 5.510 5.510 5.454 90.00 90.00 90.00
Atoms (fractional coordinates):
Re: 0.000 0.000 0.000
Te: 0.000 0.500 0.500
Te: 0.500 0.000 0.500
I: 0.500 0.500 0.000
Cl: 0.500 0.500 0.500

ii) ReTe2ICl | PBE | relaxed

Summary:
As for the density of states at the Fermi level: 4.26 states/eV/f.u. As for the symmetry: P4/mmm, No. 123. Its total magnetization is 0.00 μB per atom.

Lattice parameters (Å, degrees): 5.177 5.177 5.603 90.00 90.00 90.00
Atoms (fractional coordinates):
Re: 0.000 0.000 0.000
Te: 0.000 0.500 0.000
Te: 0.500 0.000 0.000
I: 0.000 0.000 0.500
Cl: 0.500 0.500 0.500

Order of stability, best first: ii), i)

i) RhICl2 | PBE | relaxed

Summary:
As for the density of states at the Fermi level: 3.70 states/eV/f.u. As for the symmetry: I-42d, No. 122. Its total magnetization is 0.00 μB per atom.

Lattice parameters (Å, degrees): 7.109 7.109 7.109 119.69 119.69 90.54
Atoms (fractional coordinates):
Rh: 0.000 0.000 0.000
Rh: 0.750 0.250 0.500
I: 0.250 0.750 0.500
I: 0.500 0.500 0.000
Cl: 0.375 0.031 0.156
Cl: 0.781 0.625 0.656
Cl: 0.875 0.219 0.844
Cl: 0.969 0.125 0.344

ii) RhICl2 | PBE | relaxed

Summary:
As for the density of states at the Fermi level: 9.06 states/eV/f.u. As for the symmetry: Fm-3m, No. 225. Its total magnetization is 0.56 μB per atom.

Lattice parameters (Å, degrees): 5.040 5.040 5.040 60.00 60.00 60.00
Atoms (fractional coordinates):
Rh: 0.000 0.000 0.000
I: 0.500 0.500 0.500
Cl: 0.250 0.250 0.250
Cl: 0.750 0.750 0.750

iii) RhICl2 | PBE | relaxed

Summary:
As for the density of states at the Fermi level: 4.01 states/eV/f.u. As for the symmetry: R-3m, No. 166. Its total magnetization is 0.09 μB per atom.

Lattice parameters (Å, degrees): 12.477 12.477 12.477 14.69 14.69 14.69
Atoms (fractional coordinates):
Rh: 0.000 0.000 0.000
I: 0.500 0.500 0.500
Cl: 0.059 0.059 0.059
Cl: 0.941 0.941 0.941

Order of stability, best first: iii), i), ii)

i) Rh2ICl | PBE | relaxed

Summary:
As for the density of states at the Fermi level: 1.88 states/eV/f.u. As for the symmetry: Fm-3m, No. 225. Its total magnetization is 0.00 μB per atom.

Lattice parameters (Å, degrees): 4.645 4.645 4.645 60.00 60.00 60.00
Atoms (fractional coordinates):
Rh: 0.250 0.250 0.250
Rh: 0.750 0.750 0.750
I: 0.000 0.000 0.000
Cl: 0.500 0.500 0.500

ii) Rh2ICl | PBE | relaxed

Summary:
As for the density of states at the Fermi level: 3.59 states/eV/f.u. As for the symmetry: I-42d, No. 122. Its total magnetization is 0.00 μB per atom.

Lattice parameters (Å, degrees): 6.466 6.466 6.466 122.11 122.11 86.39
Atoms (fractional coordinates):
Rh: 0.114 0.625 0.989
Rh: 0.375 0.364 0.489
Rh: 0.636 0.125 0.011
Rh: 0.875 0.886 0.511
I: 0.250 0.750 0.500
I: 0.500 0.500 0.000
Cl: 0.000 0.000 0.000
Cl: 0.750 0.250 0.500

Order of stability, best first: ii), i)

i) SbRhI2Cl | PBE | relaxed

Summary:
As for the density of states at the Fermi level: 6.71 states/eV/f.u. As for the symmetry: P4/mmm, No. 123. Its total magnetization is 0.00 μB per atom.

Lattice parameters (Å, degrees): 5.446 5.446 5.097 90.00 90.00 90.00
Atoms (fractional coordinates):
Sb: 0.000 0.000 0.000
Rh: 0.000 0.000 0.500
I: 0.000 0.500 0.500
I: 0.500 0.000 0.500
Cl: 0.500 0.500 0.000

ii) SbRhI2Cl | PBE | relaxed

Summary:
As for the density of states at the Fermi level: 11.59 states/eV/f.u. As for the symmetry: P4/mmm, No. 123. Its total magnetization is 0.60 μB per atom.

Lattice parameters (Å, degrees): 5.995 5.995 5.107 90.00 90.00 90.00
Atoms (fractional coordinates):
Sb: 0.000 0.000 0.000
Rh: 0.500 0.500 0.000
I: 0.000 0.500 0.500
I: 0.500 0.000 0.500
Cl: 0.000 0.000 0.500

Order of stability, best first: i), ii)